This record from Alexandria describes a geometry-optimized CrGeC3 structure. The functional is PBEsol.

calculated volume: 11.699 Å³ per atom
energy: -6.233 eV/atom
energy of formation: 2589.1 meV/atom

a b c (Å): 3.882 3.882 3.882
angles (deg): 90.00 90.00 90.00
Positions (direct):
1 Cr 0.000 0.000 0.000
2 Ge 0.500 0.500 0.500
3 C 0.000 0.500 0.500
4 C 0.500 0.000 0.500
5 C 0.500 0.500 0.000